No. 1
Density functional theory data (PBE) for an optimized crystal structure of LuSbPd.

Cell: 3.9491 3.9491 8.6635 Å, 90.00 90.00 90.00°
Closest atoms and distances in Å follow each position.
Space group I4mm (No. 107)
Inequivalent atoms, fractional coordinates:
Lu  0.0000  0.0000  0.0000  5 Sb 2.92-3.13, 5 Pd 3.00-3.09
Sb  0.0000  0.0000  0.3365  1 Pd 2.75, 1 Lu 2.92
Pd  0.0000  0.0000  0.6539  1 Sb 2.75, 1 Lu 3.00

Uncorrected energy in eV/atom: -5.27
Raw formation energy in eV per atom: -0.654


No. 2
Density functional theory data (PBE) for an optimized crystal structure of KPbSe2O6.

Cell: 9.0137 10.8400 7.4061 Å, 90.00 105.44 90.00°
Closest atoms and distances in Å follow each position.
Space group C2/c (No. 15)
Inequivalent atoms, fractional coordinates:
K  0.0000  0.1655  0.2500  6 O 2.82-3.05
Pb  0.0000  0.4258  0.7500  6 O 2.41-2.52
Se  0.1968  0.1262  0.8238  3 O 1.68-1.80
O  0.0991  0.4004  0.0886  1 Se 1.80
O  0.1608  0.0342  0.6344  1 Se 1.68
O  0.1918  0.2752  0.7320  1 Se 1.75

Uncorrected energy in eV/atom: -5.19
Raw formation energy in eV per atom: -1.039


No. 3
Density functional theory data (PBE) for an optimized crystal structure of K3TbAs2O8.

Cell: 5.9440 5.9440 7.7396 Å, 90.00 90.00 120.00°
Closest atoms and distances in Å follow each position.
Space group P-3m1 (No. 164)
Inequivalent atoms, fractional coordinates:
K  0.0000  0.0000  0.0000  12 O 3.12-3.44
K  0.3333  0.6667  0.6970  1 O 2.54
Tb  0.0000  0.0000  0.5000  6 O 2.26
As  0.3333  0.6667  0.2418  4 O 1.68-1.74
O  0.1771  0.3542  0.3268  1 As 1.74
O  0.3333  0.6667  0.0253  1 As 1.68

Uncorrected energy in eV/atom: -6.08
Raw formation energy in eV per atom: -2.014


No. 4
Density functional theory data (PBE) for an optimized crystal structure of Nb2FeCo9.

Cell: 3.6278 3.6278 10.8317 Å, 90.00 90.00 90.00°
Closest atoms and distances in Å follow each position.
Space group P4/mmm (No. 123)
Inequivalent atoms, fractional coordinates:
Nb  0.0000  0.0000  0.1691  12 Co 2.57-2.62
Fe  0.0000  0.0000  0.5000  12 Co 2.48-2.57
Co  0.0000  0.5000  0.0000  8 Co 2.57-2.58, 4 Nb 2.58
Co  0.0000  0.5000  0.3438  8 Co 2.48-2.62, 2 Fe 2.48, 2 Nb 2.62
Co  0.5000  0.5000  0.1694  4 Nb 2.57, 8 Co 2.58-2.62
Co  0.5000  0.5000  0.5000  8 Co 2.48, 4 Fe 2.57

ΔH_f (0 K) in eV/atom: -0.075
Uncorrected energy in eV/atom: -7.79


No. 5
Density functional theory data (PBE) for an optimized crystal structure of Ce2MgP3Ir12.

Cell: 8.9120 8.9120 13.1148 Å, 90.00 90.00 120.00°
Closest atoms and distances in Å follow each position.
Space group R-3m (No. 166, hexagonal axes)
Inequivalent atoms, fractional coordinates:
Ce  0.0000  0.0000  0.1239  3 Ir 2.56
Mg  0.0000  0.0000  0.5000  6 Ir 2.63
P  0.0000  0.5000  0.0000  2 Ir 2.27
Ir  0.0072  0.5036  0.8273  1 P 2.27
Ir  0.0171  0.5086  0.3780  2 P 2.58, 1 Ir 2.70

ΔH_f (0 K) in eV/atom: -0.151
Uncorrected energy in eV/atom: -7.71


No. 6
Density functional theory data (PBE) for an optimized crystal structure of As2PtWBr.

Cell: 4.8672 4.8672 5.0458 Å, 90.00 90.00 90.00°
Closest atoms and distances in Å follow each position.
Space group P4/mmm (No. 123)
Inequivalent atoms, fractional coordinates:
As  0.0000  0.5000  0.0000  2 Pt 2.43
Pt  0.0000  0.0000  0.0000  4 As 2.43, 2 Br 2.52
W  0.5000  0.5000  0.5000  4 Br 3.44, 8 As 3.51
Br  0.0000  0.0000  0.5000  2 Pt 2.52

Uncorrected energy in eV/atom: -4.63
E above lowest polymorph in meV/atom: 406.5
Raw formation energy in eV per atom: 1.368


No. 7
Density functional theory data (PBE) for an optimized crystal structure of BeHgRh2.

Cell: 6.1740 6.1740 6.1740 Å, 90.00 90.00 90.00°
Closest atoms and distances in Å follow each position.
Space group Fm-3m (No. 225)
Inequivalent atoms, fractional coordinates:
Be  0.0000  0.0000  0.0000  8 Rh 2.67
Hg  0.0000  0.0000  0.5000  8 Rh 2.67
Rh  0.2500  0.2500  0.2500  4 Hg 2.67, 4 Be 2.67

ΔH_f (0 K) in eV/atom: 0.103
Uncorrected energy in eV/atom: -4.58
E above lowest polymorph in meV/atom: 254.0


No. 8
Density functional theory data (PBE) for an optimized crystal structure of ThMoAs.

Cell: 5.8357 5.7556 8.6275 Å, 90.00 96.11 90.00°
Closest atoms and distances in Å follow each position.
Space group C2/m (No. 12)
Inequivalent atoms, fractional coordinates:
Th  0.2148  0.0000  0.2941  5 As 2.92-3.03, 1 Mo 3.07
Mo  0.1945  0.5000  0.0503  1 Mo 2.34, 1 As 2.60
As  0.2253  0.5000  0.3531  1 Mo 2.60

ΔH_f (0 K) in eV/atom: -0.335
Uncorrected energy in eV/atom: -7.97